## DyY5Ho8 (PBE)

Data for an optimized crystal structure of DyY5Ho8.

Cell: 8.4155 8.4155 8.4155 Å, 110.95 110.95 106.54°
Fractional positions:
Dy: 0.0000 0.0000 0.0000
Y: 0.2139 0.6165 0.1773
Y: 0.3835 0.5608 0.5973
Y: 0.4392 0.0366 0.8227
Y: 0.7500 0.2500 0.5000
Y: 0.9634 0.7861 0.4027
Ho: 0.0887 0.6715 0.7641
Ho: 0.1709 0.2753 0.7560
Ho: 0.3285 0.0927 0.4173
Ho: 0.5193 0.4150 0.2440
Ho: 0.5850 0.8291 0.1043
Ho: 0.6754 0.9113 0.5827
Ho: 0.7247 0.4807 0.8957
Ho: 0.9073 0.3246 0.2359

Values from the calculation:
**Size of the total moment**: 0.00 μB/f.u.
**ρ**: 6.99 Mg/m³
**Formation energy from the elements**: 0.263 eV/atom

=====

## SrScIn (PBE)

Data for an optimized crystal structure of SrScIn.

Cell: 8.4075 5.0577 8.8293 Å, 90.00 90.00 90.00°
Fractional positions:
Sr: 0.0122 0.2500 0.1812
Sr: 0.4878 0.7500 0.6812
Sr: 0.5122 0.2500 0.3188
Sr: 0.9878 0.7500 0.8188
Sc: 0.1428 0.2500 0.5724
Sc: 0.3572 0.7500 0.0724
Sc: 0.6428 0.2500 0.9276
Sc: 0.8572 0.7500 0.4276
In: 0.2115 0.7500 0.3938
In: 0.2885 0.2500 0.8938
In: 0.7115 0.7500 0.1062
In: 0.7885 0.2500 0.6062

Values from the calculation:
**Size of the total moment**: 0.00 μB/f.u.
**ρ**: 4.38 Mg/m³
**Offset from the most stable computed form**: 3.0 kJ/mol of atoms
**Formation energy from the elements**: -0.283 eV/atom

=====

## Cs3Bi2Pb4 (PBE)

Data for an optimized crystal structure of Cs3Bi2Pb4.

Cell: 7.8653 7.8653 12.2093 Å, 110.69 110.69 37.25°
Fractional positions:
Cs: 0.0000 0.0000 0.0000
Cs: 0.3940 0.3940 0.3160
Cs: 0.6060 0.6060 0.6840
Bi: 0.3271 0.3271 0.7005
Bi: 0.6729 0.6729 0.2995
Pb: 0.1491 0.1491 0.4476
Pb: 0.2664 0.2664 0.9408
Pb: 0.7336 0.7336 0.0592
Pb: 0.8509 0.8509 0.5524

Values from the calculation:
**Size of the total moment**: 0.00 μB/f.u.
**ρ**: 6.44 Mg/m³
**Offset from the most stable computed form**: 0.0 kJ/mol of atoms
**Formation energy from the elements**: -0.201 eV/atom

=====

## LaTb5Er4 (PBE)

Data for an optimized crystal structure of LaTb5Er4.

Cell: 7.8673 7.8673 7.8673 Å, 99.21 99.21 132.84°
Fractional positions:
La: 0.0000 0.0000 0.0000
Tb: 0.4580 0.4580 0.0000
Tb: 0.4910 0.8713 0.9102
Tb: 0.5808 0.4910 0.6197
Tb: 0.8713 0.9610 0.3803
Tb: 0.9610 0.5808 0.0898
Er: 0.1806 0.8811 0.5978
Er: 0.2834 0.5828 0.4022
Er: 0.5828 0.1806 0.2994
Er: 0.8811 0.2834 0.7006

Values from the calculation:
**Size of the total moment**: 0.00 μB/f.u.
**ρ**: 8.13 Mg/m³
**Offset from the most stable computed form**: 11.2 kJ/mol of atoms
**Formation energy from the elements**: 0.302 eV/atom

=====

## Ba2Zn6GaNi (PBE)

Data for an optimized crystal structure of Ba2Zn6GaNi.

Cell: 6.9073 6.9073 6.9184 Å, 119.91 119.91 89.93°
Fractional positions:
Ba: 0.2503 0.7497 0.0000
Ba: 0.7497 0.2503 0.0000
Zn: 0.2377 0.2377 0.9764
Zn: 0.2386 0.2386 0.4998
Zn: 0.2388 0.7612 0.5000
Zn: 0.7612 0.2388 0.5000
Zn: 0.7614 0.7614 0.5002
Zn: 0.7623 0.7623 0.0236
Ga: 0.5000 0.5000 0.5000
Ni: 0.0000 0.0000 0.5000

Values from the calculation:
**Size of the total moment**: 0.00 μB/f.u.
**ρ**: 5.64 Mg/m³
**Formation energy from the elements**: -0.133 eV/atom

=====

## Sm6ZnRh2Br3 (PBE)

Data for an optimized crystal structure of Sm6ZnRh2Br3.

Cell: 7.1466 7.1466 8.0589 Å, 98.50 98.50 120.00°
Fractional positions:
Sm: 0.0825 0.4328 0.7985
Sm: 0.2166 0.2166 0.2009
Sm: 0.4328 0.0825 0.7985
Sm: 0.5672 0.9175 0.2015
Sm: 0.7834 0.7834 0.7991
Sm: 0.9175 0.5672 0.2015
Zn: 0.5000 0.5000 0.0000
Rh: 0.1669 0.8331 0.0000
Rh: 0.8331 0.1669 0.0000
Br: 0.0000 0.0000 0.5000
Br: 0.3341 0.6659 0.5000
Br: 0.6659 0.3341 0.5000

Values from the calculation:
**Size of the total moment**: 0.00 μB/f.u.
**ρ**: 6.89 Mg/m³
**Formation energy without anion corrections**: -929 meV per atom

=====

## ZrI4N2 (PBE)

Data for an optimized crystal structure of ZrI4N2.

Cell: 4.1989 7.0675 11.0027 Å, 98.88 93.18 90.78°
Fractional positions:
Zr: 0.0000 0.0000 0.0000
I: 0.0365 0.2786 0.2089
I: 0.4887 0.2119 0.8892
I: 0.5113 0.7881 0.1108
I: 0.9635 0.7214 0.7911
N: 0.4250 0.0597 0.5204
N: 0.5750 0.9403 0.4796

Values from the calculation:
**Size of the total moment**: 0.00 μB/f.u.
**ρ**: 3.23 Mg/m³
**Formation energy without anion corrections**: -600 meV per atom

=====

## Pm3CoGe2 (PBE)

Data for an optimized crystal structure of Pm3CoGe2.

Cell: 11.8671 4.2220 11.4495 Å, 90.00 90.00 90.00°
Fractional positions:
Pm: 0.0551 0.2500 0.1290
Pm: 0.1192 0.7500 0.5554
Pm: 0.2231 0.2500 0.7985
Pm: 0.2769 0.7500 0.2985
Pm: 0.3808 0.2500 0.0554
Pm: 0.4449 0.7500 0.6290
Pm: 0.5551 0.2500 0.3710
Pm: 0.6192 0.7500 0.9446
Pm: 0.7231 0.2500 0.7015
Pm: 0.7769 0.7500 0.2015
Pm: 0.8808 0.2500 0.4446
Pm: 0.9449 0.7500 0.8710
Co: 0.1317 0.2500 0.3671
Co: 0.3683 0.7500 0.8671
Co: 0.6317 0.2500 0.1329
Co: 0.8683 0.7500 0.6329
Ge: 0.0213 0.7500 0.3157
Ge: 0.1951 0.7500 0.9954
Ge: 0.3049 0.2500 0.4954
Ge: 0.4787 0.2500 0.8157
Ge: 0.5213 0.7500 0.1843
Ge: 0.6951 0.7500 0.5046
Ge: 0.8049 0.2500 0.0046
Ge: 0.9787 0.2500 0.6843

Values from the calculation:
**Size of the total moment**: 0.00 μB/f.u.
**ρ**: 7.40 Mg/m³
**Offset from the most stable computed form**: 0.0 kJ/mol of atoms
**Formation energy from the elements**: -0.678 eV/atom

=====

## Li3Se5 (PBE)

Data for an optimized crystal structure of Li3Se5.

Cell: 8.6454 8.6454 8.8566 Å, 93.47 93.47 143.87°
Fractional positions:
Li: 0.0000 0.0000 0.0000
Li: 0.2131 0.6687 0.2277
Li: 0.5592 0.5592 0.4758
Li: 0.6687 0.2131 0.2277
Li: 0.6963 0.9913 0.7196
Li: 0.9913 0.6963 0.7196
Se: 0.0699 0.9136 0.4228
Se: 0.1757 0.1757 0.7136
Se: 0.2387 0.9086 0.0263
Se: 0.2743 0.7404 0.5241
Se: 0.6366 0.6366 0.7623
Se: 0.6444 0.8734 0.1624
Se: 0.7404 0.2743 0.5241
Se: 0.8734 0.6444 0.1624
Se: 0.9086 0.2387 0.0263
Se: 0.9136 0.0699 0.4228

Values from the calculation:
**Size of the total moment**: 0.00 μB/f.u.
**ρ**: 3.61 Mg/m³
**Formation energy without anion corrections**: -575 meV per atom
**Offset from the most stable computed form**: 0.0 kJ/mol of atoms

=====

## CoSbBr2 (PBE)

Data for an optimized crystal structure of CoSbBr2.

Cell: 3.4303 4.4852 14.7711 Å, 90.00 90.00 90.00°
Fractional positions:
Co: 0.0000 0.0000 0.0000
Co: 0.5000 0.5000 0.5000
Sb: 0.0000 0.0000 0.5000
Sb: 0.5000 0.5000 0.0000
Br: 0.0000 0.5000 0.3633
Br: 0.0000 0.5000 0.6367
Br: 0.5000 0.0000 0.1367
Br: 0.5000 0.0000 0.8633

Values from the calculation:
**Size of the total moment**: 1.41 μB/f.u.
**ρ**: 4.98 Mg/m³
**Formation energy without anion corrections**: 72 meV per atom
**Offset from the most stable computed form**: 19.9 kJ/mol of atoms

=====

## P3C2 (PBE)

Data for an optimized crystal structure of P3C2.

Cell: 5.8524 5.8524 5.8524 Å, 113.84 113.84 101.05°
Fractional positions:
P: 0.0000 0.0000 0.0000
P: 0.2633 0.5930 0.6702
P: 0.3430 0.1728 0.8298
P: 0.3430 0.5133 0.1702
P: 0.7500 0.2500 0.5000
P: 0.9228 0.5930 0.3298
C: 0.0221 0.2003 0.8218
C: 0.3785 0.2003 0.1782
C: 0.9503 0.2721 0.3218
C: 0.9503 0.6285 0.6782

Values from the calculation:
**Size of the total moment**: 0.00 μB/f.u.
**ρ**: 2.56 Mg/m³
**Offset from the most stable computed form**: 5.0 kJ/mol of atoms
**Formation energy from the elements**: 0.940 eV/atom

=====

## BaMoAu2 (PBE)

Data for an optimized crystal structure of BaMoAu2.

Cell: 8.1354 4.6989 6.4471 Å, 90.00 115.10 90.00°
Fractional positions:
Ba: 0.0000 0.0000 0.0000
Ba: 0.5000 0.5000 0.0000
Mo: 0.1837 0.0000 0.5537
Mo: 0.6837 0.5000 0.5537
Au: 0.0195 0.5000 0.5610
Au: 0.3102 0.5000 0.4338
Au: 0.5195 0.0000 0.5610
Au: 0.8102 0.0000 0.4338

Values from the calculation:
**Size of the total moment**: 1.71 μB/f.u.
**ρ**: 9.33 Mg/m³
**Offset from the most stable computed form**: 6.3 kJ/mol of atoms
**Formation energy from the elements**: 0.132 eV/atom